# HoErTmCd

Crystalline HoErTmCd at its relaxed geometry (PBE, the Alexandria database).

abc: 3.5403 3.5403 9.0132
angles: 90.00 90.00 90.00
Positions (direct):
Er (0.5000, 0.5000, 0.8017)
Tm (0.0000, 0.0000, 0.0704)
Cd (0.0000, 0.0000, 0.5724)
Ho (0.5000, 0.5000, 0.3402)

Results
DFT formation energy ... -140.7 meV per atom
Space group ... P4mm, No. 99
Offset from the most stable computed form ... 0 meV per atom
V ... 28.2 Å³/atom
Spin magnetization ... 0.000 μB/f.u.


# HoErZnCd

Crystalline HoErZnCd at its relaxed geometry (PBE, the Alexandria database).

abc: 3.5706 3.5706 7.5112
angles: 90.00 90.00 90.00
Positions (direct):
Zn (0.0000, 0.0000, 0.3592)
Ho (0.5000, 0.5000, 0.1265)
Cd (0.0000, 0.0000, 0.8550)
Er (0.5000, 0.5000, 0.5873)

Results
DFT formation energy ... -332.6 meV per atom
Space group ... P4mm, No. 99
Offset from the most stable computed form ... 0 meV per atom
V ... 23.9 Å³/atom
Spin magnetization ... 0.000 μB/f.u.


# HoErZnCd

Crystalline HoErZnCd at its relaxed geometry (PBE, the Alexandria database).

abc: 5.1483 5.1483 5.1483
angles: 60.00 60.00 60.00
Positions (direct):
Zn (0.2500, 0.2500, 0.2500)
Cd (0.7500, 0.7500, 0.7500)
Er (0.0000, 0.0000, 0.0000)
Ho (0.5000, 0.5000, 0.5000)

Results
DFT formation energy ... -315.3 meV per atom
Space group ... F-43m, No. 216
Offset from the most stable computed form ... 17 meV per atom
V ... 24.1 Å³/atom
Spin magnetization ... 0.000 μB/f.u.


# KErCdI6

Crystalline KErCdI6 at its relaxed geometry (PBE, the Alexandria database).

abc: 7.7975 7.7975 15.6759
angles: 90.00 90.00 120.00
Positions (direct):
I (0.6305, 0.9986, 0.3618)
I (0.6320, 0.0014, 0.8618)
I (0.3680, 0.3695, 0.3618)
I (0.9986, 0.6305, 0.8618)
I (0.6305, 0.6320, 0.1382)
I (0.0014, 0.6320, 0.3618)
I (0.3695, 0.0014, 0.6382)
I (0.9986, 0.3680, 0.6382)
I (0.3680, 0.9986, 0.1382)
I (0.3695, 0.3680, 0.8618)
I (0.0014, 0.3695, 0.1382)
I (0.6320, 0.6305, 0.6382)
Cd (0.6667, 0.3333, 0.2500)
Cd (0.3333, 0.6667, 0.7500)
Er (0.6667, 0.3333, 0.7500)
Er (0.3333, 0.6667, 0.2500)
K (0.0000, 0.0000, 0.5000)
K (0.0000, 0.0000, 0.0000)

Results
Space group ... P-31c, No. 163
V ... 45.9 Å³/atom
Spin magnetization ... 0.000 μB/f.u.
Energy relative to the elements, uncorrected ... -1.12 eV per atom


# ErCdIO6

Crystalline ErCdIO6 at its relaxed geometry (PBE, the Alexandria database).

abc: 5.5754 5.5754 9.3203
angles: 90.00 90.00 120.00
Positions (direct):
O (0.6139, 0.9544, 0.8646)
O (0.6596, 0.0456, 0.3646)
O (0.3861, 0.0456, 0.1354)
O (0.3404, 0.3861, 0.8646)
O (0.9544, 0.6139, 0.3646)
O (0.3404, 0.9544, 0.6354)
O (0.0456, 0.3861, 0.6354)
O (0.0456, 0.6596, 0.8646)
O (0.9544, 0.3404, 0.1354)
O (0.6139, 0.6596, 0.6354)
O (0.6596, 0.6139, 0.1354)
O (0.3861, 0.3404, 0.3646)
Er (0.3333, 0.6667, 0.2500)
Er (0.6667, 0.3333, 0.7500)
I (0.3333, 0.6667, 0.7500)
I (0.6667, 0.3333, 0.2500)
Cd (0.0000, 0.0000, 0.5000)
Cd (0.0000, 0.0000, 0.0000)

Results
Space group ... P-31c, No. 163
V ... 13.9 Å³/atom
Spin magnetization ... 0.000 μB/f.u.
Energy relative to the elements, uncorrected ... -1.39 eV per atom


# RbErCdI6

Crystalline RbErCdI6 at its relaxed geometry (PBE, the Alexandria database).

abc: 7.8274 7.8274 16.4241
angles: 90.00 90.00 120.00
Positions (direct):
Rb (0.0000, 0.0000, 0.5000)
Rb (0.0000, 0.0000, 0.0000)
I (0.9986, 0.3712, 0.6431)
I (0.6273, 0.9986, 0.3569)
I (0.0014, 0.6288, 0.3569)
I (0.3712, 0.3727, 0.3569)
I (0.0014, 0.3727, 0.1431)
I (0.9986, 0.6273, 0.8569)
I (0.6288, 0.0014, 0.8569)
I (0.3712, 0.9986, 0.1431)
I (0.6288, 0.6273, 0.6431)
I (0.3727, 0.3712, 0.8569)
I (0.3727, 0.0014, 0.6431)
I (0.6273, 0.6288, 0.1431)
Cd (0.6667, 0.3333, 0.2500)
Cd (0.3333, 0.6667, 0.7500)
Er (0.3333, 0.6667, 0.2500)
Er (0.6667, 0.3333, 0.7500)

Results
Space group ... P-31c, No. 163
V ... 48.4 Å³/atom
Spin magnetization ... 0.000 μB/f.u.
Energy relative to the elements, uncorrected ... -1.13 eV per atom


Repeat the second record exactly.
# HoErZnCd

Crystalline HoErZnCd at its relaxed geometry (PBE, the Alexandria database).

abc: 3.5706 3.5706 7.5112
angles: 90.00 90.00 90.00
Positions (direct):
Zn (0.0000, 0.0000, 0.3592)
Ho (0.5000, 0.5000, 0.1265)
Cd (0.0000, 0.0000, 0.8550)
Er (0.5000, 0.5000, 0.5873)

Results
DFT formation energy ... -332.6 meV per atom
Space group ... P4mm, No. 99
Offset from the most stable computed form ... 0 meV per atom
V ... 23.9 Å³/atom
Spin magnetization ... 0.000 μB/f.u.


Which value of spin magnetization does entry 6 give? 0.000 μB/f.u.